# 1
Density functional theory data (GGA-PBE) for crystalline TiBeAl at its relaxed geometry.

For the energy above the most stable polymorph in this dataset, the calculation gives 29 meV/atom. The uncorrected energy comes out at -5.38 eV per atom.

a = 3.539 Å, b = 6.321 Å, c = 10.982 Å
α = 90.00°, β = 90.00°, γ = 90.00°
Atoms (fractional coordinates):
1 Ti 0.000 0.221 0.951
2 Ti 0.000 0.779 0.049
3 Ti 0.000 0.221 0.549
4 Ti 0.000 0.779 0.451
5 Ti 0.000 0.153 0.250
6 Ti 0.000 0.847 0.750
7 Be 0.500 0.061 0.088
8 Be 0.500 0.939 0.912
9 Be 0.500 0.061 0.412
10 Be 0.500 0.939 0.588
11 Be 0.000 0.557 0.250
12 Be 0.000 0.443 0.750
13 Al 0.500 0.431 0.120
14 Al 0.500 0.569 0.880
15 Al 0.500 0.431 0.380
16 Al 0.500 0.569 0.620
17 Al 0.500 0.813 0.250
18 Al 0.500 0.187 0.750

***

# 2
Density functional theory data (GGA-PBE) for crystalline Fe3Au4 at its relaxed geometry.

For the energy above the most stable polymorph in this dataset, the calculation gives 0 meV/atom. The uncorrected energy comes out at -5.39 eV per atom.

a = 2.972 Å, b = 2.972 Å, c = 12.596 Å
α = 96.78°, β = 96.78°, γ = 90.00°
Atoms (fractional coordinates):
1 Au 0.155 0.155 0.309
2 Au 0.430 0.430 0.860
3 Au 0.570 0.570 0.140
4 Au 0.845 0.845 0.691
5 Fe 0.000 0.000 0.000
6 Fe 0.275 0.275 0.551
7 Fe 0.725 0.725 0.449

***

# 3
Density functional theory data (GGA-PBE) for crystalline NdMg2GeRh2 at its relaxed geometry.

The uncorrected energy comes out at -4.90 eV per atom.

a = 4.659 Å, b = 4.659 Å, c = 6.001 Å
α = 90.00°, β = 90.00°, γ = 90.00°
Atoms (fractional coordinates):
1 Nd 0.000 0.000 0.500
2 Mg 0.500 0.500 0.753
3 Mg 0.500 0.500 0.247
4 Ge 0.000 0.000 0.000
5 Rh 0.500 0.000 0.000
6 Rh 0.000 0.500 0.000

***

# 4
Density functional theory data (GGA-PBE) for crystalline Li2Ac3Tl6 at its relaxed geometry.

The uncorrected energy comes out at -3.04 eV per atom.

a = 4.916 Å, b = 4.916 Å, c = 14.129 Å
α = 100.02°, β = 100.02°, γ = 90.00°
Atoms (fractional coordinates):
1 Li 0.450 0.450 0.900
2 Li 0.550 0.550 0.100
3 Ac 0.000 0.000 0.000
4 Ac 0.805 0.805 0.611
5 Ac 0.195 0.195 0.389
6 Tl 0.097 0.597 0.194
7 Tl 0.597 0.097 0.194
8 Tl 0.903 0.403 0.806
9 Tl 0.403 0.903 0.806
10 Tl 0.680 0.680 0.360
11 Tl 0.320 0.320 0.640

***

# 5
Density functional theory data (GGA-PBE) for crystalline Zn3Cu5Pt at its relaxed geometry.

The uncorrected energy comes out at -3.22 eV per atom.

a = 7.106 Å, b = 7.106 Å, c = 7.218 Å
α = 119.49°, β = 119.49°, γ = 90.00°
Atoms (fractional coordinates):
1 Zn 0.612 0.112 0.000
2 Zn 0.388 0.888 0.000
3 Zn 0.888 0.612 0.000
4 Zn 0.112 0.388 0.000
5 Zn 0.250 0.250 0.500
6 Zn 0.750 0.750 0.500
7 Cu 0.074 0.574 0.734
8 Cu 0.660 0.160 0.734
9 Cu 0.160 0.074 0.734
10 Cu 0.574 0.660 0.734
11 Cu 0.926 0.426 0.266
12 Cu 0.340 0.840 0.266
13 Cu 0.840 0.926 0.266
14 Cu 0.426 0.340 0.266
15 Cu 0.500 0.500 0.000
16 Cu 0.000 0.000 0.000
17 Pt 0.750 0.250 0.500
18 Pt 0.250 0.750 0.500

***

# 6
Density functional theory data (GGA-PBE) for crystalline K2AlVIr at its relaxed geometry.

The uncorrected energy comes out at -3.67 eV per atom.

a = 6.158 Å, b = 4.689 Å, c = 6.158 Å
α = 90.00°, β = 90.00°, γ = 90.00°
Atoms (fractional coordinates):
1 K 0.000 0.000 0.500
2 K 0.500 0.000 0.000
3 Ir 0.000 0.000 0.000
4 Al 0.000 0.500 0.000
5 V 0.500 0.500 0.500

***

# 7
Density functional theory data (GGA-PBE) for crystalline NbTcBiRu2 at its relaxed geometry.

The uncorrected energy comes out at -7.19 eV per atom.

a = 4.759 Å, b = 4.788 Å, c = 4.759 Å
α = 90.00°, β = 90.00°, γ = 90.00°
Atoms (fractional coordinates):
1 Ru 0.000 0.000 0.500
2 Ru 0.500 0.000 0.000
3 Nb 0.000 0.000 0.000
4 Bi 0.500 0.500 0.500
5 Tc 0.000 0.500 0.000

***

# 8
Density functional theory data (GGA-PBE) for crystalline Mg2ReRu at its relaxed geometry.

For the energy above the most stable polymorph in this dataset, the calculation gives 0 meV/atom. The uncorrected energy comes out at -6.22 eV per atom.

a = 2.988 Å, b = 2.988 Å, c = 7.438 Å
α = 90.00°, β = 90.00°, γ = 90.00°
Atoms (fractional coordinates):
1 Mg 0.000 0.000 0.967
2 Mg 0.500 0.500 0.276
3 Re 0.000 0.000 0.526
4 Ru 0.500 0.500 0.732

***

- The highest uncorrected energy belongs to which entry?
  Li2Ac3Tl6